Record 1
A relaxed structure of CeNdBiN2, computed with PBE-GGA.

POSCAR file:
```
CeNdBiN2
1.0
5.6784 0.0000 0.0000
0.0000 5.6743 0.0000
0.0000 -2.8371 7.4019
N Nd Ce Bi
4 2 2 2
Direct
0.5000 0.2613 0.0000
0.5000 0.7387 0.0000
0.0000 0.2613 0.0000
0.0000 0.7387 0.0000
0.7500 0.0792 0.1583
0.2500 0.9208 0.8417
0.7500 0.4294 0.8588
0.2500 0.5706 0.1412
0.7500 0.7512 0.5025
0.2500 0.2488 0.4975
```

N(E_F)	0.90	states/eV per atom
ΔE_f (raw)	-1.05	eV per atom

Record 2
A relaxed structure of Ce5Bi2OsN, computed with PBE-GGA.

POSCAR file:
```
Ce5Bi2OsN
1.0
4.6231 0.0000 0.0000
0.0000 4.6231 0.0000
0.0000 0.0000 11.6015
Ce Os Bi N
5 1 2 1
Direct
0.5000 0.0000 0.5000
0.5000 0.5000 0.0000
0.0000 0.5000 0.5000
0.0000 0.0000 0.2202
0.0000 0.0000 0.7798
0.0000 0.0000 0.0000
0.5000 0.5000 0.2867
0.5000 0.5000 0.7133
0.0000 0.0000 0.5000
```

N(E_F)	2.85	states/eV per atom
ΔE_f (raw)	-0.61	eV per atom